Material: ReNiSe2
Method: DFT, PBE
State: relaxed

Cell lengths 7.484, 7.484, 7.484 Å; angles 24.21, 24.21, 24.21 degrees
Sites, in units of the cell vectors:
Ni1 0.250 0.250 0.250
Re1 0.750 0.750 0.750
Se1 0.998 0.998 0.998
Se2 0.502 0.502 0.502

## Properties
Relative energy among the computed polymorphs, eV per atom: 0.181
Formation energy (no corrections), eV/atom: 0.225
V, Å³/cell: 62


Material: ReNiSe2
Method: DFT, PBE
State: relaxed

Cell lengths 5.520, 5.520, 6.624 Å; angles 65.38, 65.38, 90.00 degrees
Sites, in units of the cell vectors:
Re1 0.000 0.000 0.000
Re2 0.750 0.250 0.500
Se1 0.614 0.125 0.250
Se2 0.136 0.625 0.250
Se3 0.375 0.386 0.750
Se4 0.875 0.864 0.750
Ni1 0.500 0.500 0.000
Ni2 0.250 0.750 0.500

## Properties
Relative energy among the computed polymorphs, eV per atom: 0.180
Formation energy (no corrections), eV/atom: 0.224
V, Å³/cell: 163


| no. | E (eV per atom) |
| --- | --- |
| 1 | -6.074 |
| 2 | -6.075 |